Ba2CaSe2 | PBE | optimized geometry

POSCAR file:
```
Ba2CaSe2
1.0
8.567 0.000 0.000
0.000 8.567 0.000
0.000 0.000 4.616
Ba Ca Se
4 2 4
Direct
0.154 0.346 0.000
0.346 0.846 0.000
0.654 0.154 0.000
0.846 0.654 0.000
0.000 0.000 0.500
0.500 0.500 0.500
0.159 0.659 0.500
0.341 0.159 0.500
0.659 0.841 0.500
0.841 0.341 0.500
```

Symmetry   P4/mbm (127)
Total DFT energy (no corrections)   -40.883 eV for the cell shown
Magnetic moment   0.000 μB per formula unit
Formation energy from raw total energies   -1525 meV/atom